Record 1
This record from the Alexandria database describes crystalline Nd2ThTlN at its relaxed geometry. The functional is PBE.

```
data_Nd2ThTlN
_chemical_formula_sum 'Nd2 Th1 Tl1 N1'
_cell_length_a 5.1084
_cell_length_b 5.1084
_cell_length_c 4.8765
_cell_angle_alpha 90.00
_cell_angle_beta 90.00
_cell_angle_gamma 90.00
_space_group_name_H-M_alt 'P 4/m m m'
_space_group_IT_number 123
_space_group_name_Hall '-P 4 2'
loop_
_atom_site_label
_atom_site_type_symbol
_atom_site_fract_x
_atom_site_fract_y
_atom_site_fract_z
Nd1 Nd 0.0000 0.5000 0.0000
Th1 Th 0.0000 0.0000 0.5000
Tl1 Tl 0.5000 0.5000 0.5000
N1 N 0.0000 0.0000 0.0000
```

Summary:
As for the density of states at the Fermi level: 0.352 states/eV per atom. The uncorrected formation energy is -17.95 kcal/mol of atoms. For the calculated total energy, the calculation gives -6.31 eV/atom.

***

Record 2
This record from the Alexandria database describes crystalline NdTmTh2N4 at its relaxed geometry. The functional is PBE.

```
data_NdTmTh2N4
_chemical_formula_sum 'Nd1 Tm1 Th2 N4'
_cell_length_a 6.2019
_cell_length_b 3.6098
_cell_length_c 6.2680
_cell_angle_alpha 90.00
_cell_angle_beta 109.52
_cell_angle_gamma 90.00
_space_group_name_H-M_alt 'P 1 2/m 1'
_space_group_IT_number 10
loop_
_space_group_symop_operation_xyz
'x,y,z'
'-x,-y,-z'
'-x,y,-z'
'x,-y,z'
loop_
_atom_site_label
_atom_site_type_symbol
_atom_site_fract_x
_atom_site_fract_y
_atom_site_fract_z
Nd1 Nd 0.0000 0.0000 0.0000
Tm1 Tm 0.0000 0.5000 0.5000
Th1 Th 0.5000 0.0000 0.5000
Th2 Th 0.5000 0.5000 0.0000
N1 N 0.2476 0.0000 0.7398
N2 N 0.2555 0.5000 0.2617
```

Summary:
As for the density of states at the Fermi level: 0.345 states/eV per atom. The uncorrected formation energy is -36.01 kcal/mol of atoms. For the calculated total energy, the calculation gives -8.73 eV/atom.

***

Record 3
This record from the Alexandria database describes crystalline Nd4Th3UN8 at its relaxed geometry. The functional is PBE.

```
data_Nd4Th3UN8
_chemical_formula_sum 'Nd12 Th9 U3 N24'
_cell_length_a 7.2660
_cell_length_b 7.2660
_cell_length_c 17.7285
_cell_angle_alpha 90.00
_cell_angle_beta 90.00
_cell_angle_gamma 120.00
_space_group_name_H-M_alt 'R -3 m'
_space_group_IT_number 166
_space_group_name_Hall '-R 3 2"'
loop_
_atom_site_label
_atom_site_type_symbol
_atom_site_fract_x
_atom_site_fract_y
_atom_site_fract_z
Nd1 Nd 0.0000 0.0000 0.0000
Nd2 Nd 0.0000 0.5000 0.0000
Th1 Th 0.0000 0.5000 0.5000
U1 U 0.0000 0.0000 0.5000
N1 N 0.0000 0.0000 0.2445
N2 N 0.0233 0.5116 0.2403
```

Summary:
As for the density of states at the Fermi level: 0.497 states/eV per atom. The uncorrected formation energy is -34.32 kcal/mol of atoms. For the calculated total energy, the calculation gives -8.94 eV/atom.

***

Record 4
This record from the Alexandria database describes crystalline Nd2ThUN4 at its relaxed geometry. The functional is PBE.

```
data_Nd2ThUN4
_chemical_formula_sum 'Nd2 Th1 U1 N4'
_cell_length_a 6.2021
_cell_length_b 3.5922
_cell_length_c 6.2323
_cell_angle_alpha 90.00
_cell_angle_beta 109.25
_cell_angle_gamma 90.00
_space_group_name_H-M_alt 'P 1 2/m 1'
_space_group_IT_number 10
loop_
_space_group_symop_operation_xyz
'x,y,z'
'-x,-y,-z'
'-x,y,-z'
'x,-y,z'
loop_
_atom_site_label
_atom_site_type_symbol
_atom_site_fract_x
_atom_site_fract_y
_atom_site_fract_z
Nd1 Nd 0.0000 0.0000 0.0000
Nd2 Nd 0.0000 0.5000 0.5000
Th1 Th 0.5000 0.0000 0.5000
U1 U 0.5000 0.5000 0.0000
N1 N 0.2825 0.5000 0.2316
N2 N 0.2898 0.0000 0.7842
```

Summary:
As for the density of states at the Fermi level: 0.384 states/eV per atom. The uncorrected formation energy is -33.69 kcal/mol of atoms. For the calculated total energy, the calculation gives -9.15 eV/atom.

***

Record 5
This record from the Alexandria database describes crystalline Nd3Th2UN6 at its relaxed geometry. The functional is PBE.

```
data_Nd3Th2UN6
_chemical_formula_sum 'Nd6 Th4 U2 N12'
_cell_length_a 6.2672
_cell_length_b 10.8497
_cell_length_c 6.2500
_cell_angle_alpha 90.00
_cell_angle_beta 109.49
_cell_angle_gamma 90.00
_space_group_name_H-M_alt 'C 1 2/m 1'
_space_group_IT_number 12
loop_
_space_group_symop_operation_xyz
'x,y,z'
'-x,-y,-z'
'-x,y,-z'
'x,-y,z'
'x+1/2,y+1/2,z'
'-x+1/2,-y+1/2,-z'
'-x+1/2,y+1/2,-z'
'x+1/2,-y+1/2,z'
loop_
_atom_site_label
_atom_site_type_symbol
_atom_site_fract_x
_atom_site_fract_y
_atom_site_fract_z
Nd1 Nd 0.0000 0.0000 0.0000
Nd2 Nd 0.0000 0.3339 0.0000
Th1 Th 0.0000 0.1665 0.5000
U1 U 0.0000 0.5000 0.5000
N1 N 0.2271 0.3458 0.7186
N2 N 0.2349 0.5000 0.2787
```

Summary:
As for the density of states at the Fermi level: 0.452 states/eV per atom. The uncorrected formation energy is -34.31 kcal/mol of atoms. For the calculated total energy, the calculation gives -9.02 eV/atom.

***

Record 6
This record from the Alexandria database describes crystalline NdTh2UN4 at its relaxed geometry. The functional is PBE.

```
data_NdTh2UN4
_chemical_formula_sum 'Nd2 Th4 U2 N8'
_cell_length_a 5.1035
_cell_length_b 5.1035
_cell_length_c 10.1450
_cell_angle_alpha 90.00
_cell_angle_beta 90.00
_cell_angle_gamma 90.00
_space_group_name_H-M_alt 'I -4 m 2'
_space_group_IT_number 119
_space_group_name_Hall 'I -4 -2'
loop_
_atom_site_label
_atom_site_type_symbol
_atom_site_fract_x
_atom_site_fract_y
_atom_site_fract_z
Nd1 Nd 0.0000 0.0000 0.0000
Th1 Th 0.0000 0.0000 0.5000
Th2 Th 0.0000 0.5000 0.2500
U1 U 0.0000 0.5000 0.7500
N1 N 0.0000 0.0000 0.2533
N2 N 0.0000 0.5000 0.5186
```

Summary:
As for the density of states at the Fermi level: 0.773 states/eV per atom. The uncorrected formation energy is -32.99 kcal/mol of atoms. For the calculated total energy, the calculation gives -9.46 eV/atom.

***

Record 7
This record from the Alexandria database describes crystalline Nd2Th3UN6 at its relaxed geometry. The functional is PBE.

```
data_Nd2Th3UN6
_chemical_formula_sum 'Nd4 Th6 U2 N12'
_cell_length_a 6.2656
_cell_length_b 10.8194
_cell_length_c 6.2500
_cell_angle_alpha 90.00
_cell_angle_beta 109.43
_cell_angle_gamma 90.00
_space_group_name_H-M_alt 'C 1 2/m 1'
_space_group_IT_number 12
loop_
_space_group_symop_operation_xyz
'x,y,z'
'-x,-y,-z'
'-x,y,-z'
'x,-y,z'
'x+1/2,y+1/2,z'
'-x+1/2,-y+1/2,-z'
'-x+1/2,y+1/2,-z'
'x+1/2,-y+1/2,z'
loop_
_atom_site_label
_atom_site_type_symbol
_atom_site_fract_x
_atom_site_fract_y
_atom_site_fract_z
Nd1 Nd 0.0000 0.1668 0.0000
Th1 Th 0.0000 0.0000 0.5000
Th2 Th 0.0000 0.3315 0.5000
U1 U 0.0000 0.5000 0.0000
N1 N 0.2204 0.5000 0.7525
N2 N 0.2274 0.3507 0.2342
```

Summary:
As for the density of states at the Fermi level: 0.475 states/eV per atom. The uncorrected formation energy is -34.28 kcal/mol of atoms. For the calculated total energy, the calculation gives -9.24 eV/atom.

***

Record 8
This record from the Alexandria database describes crystalline NdThU2N4 at its relaxed geometry. The functional is PBE.

```
data_NdThU2N4
_chemical_formula_sum 'Nd2 Th2 U4 N8'
_cell_length_a 5.0445
_cell_length_b 5.0445
_cell_length_c 9.8474
_cell_angle_alpha 90.00
_cell_angle_beta 90.00
_cell_angle_gamma 90.00
_space_group_name_H-M_alt 'I -4 m 2'
_space_group_IT_number 119
_space_group_name_Hall 'I -4 -2'
loop_
_atom_site_label
_atom_site_type_symbol
_atom_site_fract_x
_atom_site_fract_y
_atom_site_fract_z
Nd1 Nd 0.0000 0.0000 0.0000
Th1 Th 0.0000 0.5000 0.7500
U1 U 0.0000 0.0000 0.5000
U2 U 0.0000 0.5000 0.2500
N1 N 0.0000 0.0000 0.2656
N2 N 0.0000 0.5000 0.0156
```

Summary:
As for the density of states at the Fermi level: 1.196 states/eV per atom. The uncorrected formation energy is -31.09 kcal/mol of atoms. For the calculated total energy, the calculation gives -9.86 eV/atom.

***

Record 9
This record from the Alexandria database describes crystalline NdThVN4 at its relaxed geometry. The functional is PBE.

```
data_NdThVN4
_chemical_formula_sum 'Nd4 Th4 V4 N16'
_cell_length_a 5.4354
_cell_length_b 12.7414
_cell_length_c 5.3918
_cell_angle_alpha 90.00
_cell_angle_beta 90.00
_cell_angle_gamma 90.00
_space_group_name_H-M_alt 'C m c m'
_space_group_IT_number 63
_space_group_name_Hall '-C 2c 2'
loop_
_atom_site_label
_atom_site_type_symbol
_atom_site_fract_x
_atom_site_fract_y
_atom_site_fract_z
Nd1 Nd 0.0000 0.1091 0.2500
Th1 Th 0.0000 0.3917 0.2500
V1 V 0.0000 0.2332 0.7500
N1 N 0.0000 0.0863 0.7500
N2 N 0.0000 0.4285 0.7500
N3 N 0.2500 0.2500 0.0000
```

Summary:
As for the density of states at the Fermi level: 0.154 states/eV per atom. The uncorrected formation energy is -30.15 kcal/mol of atoms. For the calculated total energy, the calculation gives -9.11 eV/atom.

***

Record 10
This record from the Alexandria database describes crystalline NdTh2WN5 at its relaxed geometry. The functional is PBE.

```
data_NdTh2WN5
_chemical_formula_sum 'Nd2 Th4 W2 N10'
_cell_length_a 6.8693
_cell_length_b 6.8693
_cell_length_c 5.9323
_cell_angle_alpha 90.00
_cell_angle_beta 90.00
_cell_angle_gamma 90.00
_space_group_name_H-M_alt 'P 4/m b m'
_space_group_IT_number 127
_space_group_name_Hall '-P 4 2ab'
loop_
_atom_site_label
_atom_site_type_symbol
_atom_site_fract_x
_atom_site_fract_y
_atom_site_fract_z
Nd1 Nd 0.0000 0.0000 0.0000
Th1 Th 0.1719 0.3281 0.5000
W1 W 0.0000 0.5000 0.0000
N1 N 0.0000 0.0000 0.5000
N2 N 0.1427 0.6427 0.2352
```

Summary:
The uncorrected formation energy is -25.91 kcal/mol of atoms. For the calculated total energy, the calculation gives -9.37 eV/atom.